Entry 1:
Computed, not measured: a geometry-optimized InTcP2 structure at the PBE level of DFT.

Lattice parameters (Å, degrees): 3.3198 4.6437 4.2281 90.00 90.00 90.00
Positions (direct):
1 P 0.0000 0.0000 0.0000
2 P 0.5000 0.5000 0.0000
3 Tc 0.5000 0.0000 0.5000
4 In 0.0000 0.5000 0.5000

Crystal system = orthorhombic

Entry 2:
Computed, not measured: a geometry-optimized InTc2P structure at the PBE level of DFT.

Lattice parameters (Å, degrees): 4.4890 4.4890 4.4890 60.00 60.00 60.00
Positions (direct):
1 P 0.2500 0.2500 0.2500
2 Tc 0.0000 0.0000 0.0000
3 Tc 0.7500 0.7500 0.7500
4 In 0.5000 0.5000 0.5000

Crystal system = cubic
Energy above the most stable polymorph in this dataset = 2.37 eV per formula unit

Entry 3:
Computed, not measured: a geometry-optimized InTcP2 structure at the PBE level of DFT.

Lattice parameters (Å, degrees): 5.1117 5.1117 5.1117 143.98 123.87 68.52
Positions (direct):
1 P 0.9734 0.9734 0.0000
2 P 0.7485 0.2485 0.5000
3 Tc 0.5352 0.5352 0.0000
4 In 0.2429 0.7429 0.5000

Crystal system = orthorhombic

Entry 4:
Computed, not measured: a geometry-optimized InTcP2 structure at the PBE level of DFT.

Lattice parameters (Å, degrees): 5.0670 5.0670 5.0670 134.90 134.90 65.69
Positions (direct):
1 In 0.7500 0.2500 0.5000
2 P 0.0000 0.0000 0.0000
3 P 0.2500 0.7500 0.5000
4 Tc 0.5000 0.5000 0.0000

Crystal system = tetragonal

Formation enthalpy at 0 K: 0.58, 0.46, 0.32, 0.56 (eV/atom)